Entry from Alexandria via LeMat-Bulk: AgTeRh at its PBEsol-relaxed geometry (SCAN).

Properties
* formation energy from raw total energies: 0.066 eV per atom
* Fermi-level density of states: 1.99 states/eV/f.u.

Lattice parameters (Å, degrees): 4.4643 4.4643 3.1861 90.00 90.00 120.00
Space group P-6m2 (No. 187)
Unique sites:
Ag 0.0000 0.0000 0.0000 x1
Te 0.3333 0.6667 0.5000 x1
Rh 0.6667 0.3333 0.5000 x1